1.
## SrAl2Co2 (PBE)

Data for a relaxed structure of SrAl2Co2.

Output
* formation enthalpy at 0 K: -0.101 eV per atom
* N(E_F): 4.60 states/eV per cell

Structure (POSCAR):
```
SrAl2Co2
1.0
-6.459 -3.137 2.129
1.769 -6.213 -3.789
1.261 -1.040 2.293
Sr Co Al
2 4 4
Direct
0.000 0.000 0.000
0.500 0.500 0.000
0.349 0.849 0.000
0.849 0.651 0.000
0.651 0.151 0.000
0.151 0.349 0.000
0.132 0.632 0.500
0.632 0.868 0.500
0.868 0.368 0.500
0.368 0.132 0.500
```


2.
## SrAlCo (PBE)

Data for a relaxed structure of SrAlCo.

Output
* formation enthalpy at 0 K: 0.031 eV per atom
* N(E_F): 2.11 states/eV per cell

Structure (POSCAR):
```
SrAlCo
1.0
4.152 0.000 0.000
-2.076 3.596 0.000
0.000 0.000 4.680
Sr Co Al
1 1 1
Direct
0.333 0.667 0.667
0.667 0.333 0.167
0.000 0.000 0.167
```


3.
## SrAl4Co (PBE)

Data for a relaxed structure of SrAl4Co.

Output
* formation enthalpy at 0 K: 0.171 eV per atom
* N(E_F): 4.12 states/eV per cell

Structure (POSCAR):
```
SrAl4Co
1.0
0.000 3.872 3.872
3.872 0.000 3.872
3.872 3.872 0.000
Sr Al Co
1 4 1
Direct
0.000 0.000 0.000
0.375 0.874 0.375
0.874 0.375 0.375
0.375 0.375 0.874
0.375 0.375 0.375
0.750 0.750 0.750
```


4.
## SrAlCo (PBE)

Data for a relaxed structure of SrAlCo.

Output
* formation enthalpy at 0 K: 0.349 eV per atom
* N(E_F): 1.88 states/eV per cell

Structure (POSCAR):
```
SrAlCo
1.0
-3.857 -2.431 0.597
0.184 -4.590 0.205
-0.764 -2.156 3.989
Sr Co Al
1 1 1
Direct
0.000 0.000 0.000
0.750 0.750 0.750
0.500 0.500 0.500
```


5.
## SrAlCo3 (PBE)

Data for a relaxed structure of SrAlCo3.

Output
* formation enthalpy at 0 K: 0.598 eV per atom
* N(E_F): 10.47 states/eV per cell

Structure (POSCAR):
```
SrAlCo3
1.0
4.516 0.000 0.000
0.000 4.516 0.000
0.000 0.000 4.516
Sr Co Al
1 3 1
Direct
0.500 0.500 0.500
0.000 0.500 0.000
0.000 0.000 0.500
0.500 0.000 0.000
0.000 0.000 0.000
```


6.
## SrAlCo (PBE)

Data for a relaxed structure of SrAlCo.

Output
* formation enthalpy at 0 K: 1.170 eV per atom
* N(E_F): 9.91 states/eV per cell

Structure (POSCAR):
```
SrAlCo
1.0
-1.632 0.753 -4.636
0.152 -3.698 -3.321
-4.218 -2.143 -1.530
Sr Co Al
1 1 1
Direct
0.750 0.750 0.750
0.500 0.500 0.500
0.000 0.000 0.000
```


7.
## SrTaAlCo2 (PBE)

Data for a relaxed structure of SrTaAlCo2.

Output
* formation enthalpy at 0 K: 2.345 eV per atom
* N(E_F): 6.47 states/eV per cell

Structure (POSCAR):
```
SrTaAlCo2
1.0
4.529 0.000 0.000
0.000 5.229 0.000
0.000 0.000 4.529
Sr Co Al Ta
1 2 1 1
Direct
0.000 0.000 0.000
0.000 0.000 0.500
0.500 0.000 0.000
0.500 0.500 0.500
0.000 0.500 0.000
```


8.
## Sr2TiAlCo (PBE)

Data for a relaxed structure of Sr2TiAlCo.

Output
* formation enthalpy at 0 K: 0.702 eV per atom
* N(E_F): 3.41 states/eV per cell

Structure (POSCAR):
```
Sr2TiAlCo
1.0
6.194 0.000 0.000
0.000 4.093 0.000
0.000 0.000 6.194
Sr Co Al Ti
2 1 1 1
Direct
0.000 0.000 0.500
0.500 0.000 0.000
0.000 0.500 0.000
0.500 0.500 0.500
0.000 0.000 0.000
```